No. 1
Compound: ErSc2Ga3
Source: Alexandria
Functional: PBE-GGA
Structure: optimized geometry

Values from the calculation:
Offset from the most stable computed form, meV per atom: 0
N(E_F), states/eV per atom: 0.52
E_tot, eV for the cell shown: -29.8
DFT formation energy, meV/atom: -584

a b c (Å): 3.413 3.413 10.295
angles (deg): 90.00 90.00 90.00
Fractional positions:
1 Sc 0.500 0.500 0.160
2 Sc 0.500 0.500 0.840
3 Ga 0.000 0.000 0.682
4 Ga 0.000 0.000 0.318
5 Ga 0.000 0.000 0.000
6 Er 0.500 0.500 0.500

No. 2
Compound: BaPu2CuSe5
Source: Alexandria
Functional: PBE-GGA
Structure: optimized geometry

Values from the calculation:
E_form (uncorrected), kJ per mole of atoms: -127.92
N(E_F), states/eV per atom: 1.76
E_tot, eV for the cell shown: -128.1

a b c (Å): 7.964 7.964 9.094
angles (deg): 115.97 115.97 90.00
Site moments in Bohr magnetons follow the coordinates.
Fractional positions:
1 Se 0.719 0.219 0.739  -0.15
2 Se 0.980 0.480 0.261  -0.15
3 Se 0.219 0.020 0.739  -0.15
4 Se 0.281 0.781 0.261  -0.15
5 Se 0.020 0.520 0.739  -0.15
6 Se 0.000 0.000 0.000  -0.19
7 Se 0.480 0.281 0.261  -0.15
8 Se 0.781 0.980 0.261  -0.15
9 Se 0.520 0.719 0.739  -0.15
10 Se 0.500 0.500 0.000  -0.19
11 Pu 0.659 0.159 0.000  4.99
12 Pu 0.841 0.659 0.000  4.99
13 Pu 0.159 0.341 0.000  4.99
14 Pu 0.341 0.841 0.000  4.99
15 Cu 0.250 0.750 0.500  -0.15
16 Cu 0.750 0.250 0.500  -0.15
17 Ba 0.250 0.250 0.500  -0.01
18 Ba 0.750 0.750 0.500  -0.01

No. 3
Compound: Ti8Ga3Sb2
Source: Alexandria
Functional: PBE-GGA
Structure: optimized geometry

Values from the calculation:
E_form (uncorrected), kJ per mole of atoms: -12.35
N(E_F), states/eV per atom: 1.17
E_tot, eV for the cell shown: -82.1

a b c (Å): 5.457 7.201 7.328
angles (deg): 119.43 79.33 90.00
Site moments in Bohr magnetons follow the coordinates.
Fractional positions:
1 Ti 0.893 0.421 0.842  -0.06
2 Ti 0.460 0.205 0.780  0.06
3 Ti 0.107 0.579 0.158  -0.06
4 Ti 0.540 0.795 0.220  0.06
5 Ti 0.234 0.807 0.615  0.40
6 Ti 0.766 0.193 0.385  0.40
7 Ti 0.540 0.425 0.220  0.06
8 Ti 0.460 0.575 0.780  0.06
9 Sb 0.248 0.232 0.465  -0.01
10 Sb 0.752 0.768 0.535  -0.01
11 Ga 0.000 0.824 0.000  0.00
12 Ga 0.500 0.000 0.000  0.00
13 Ga 0.000 0.176 0.000  0.00

No. 4
Compound: ReMo2Se
Source: Alexandria
Functional: PBE-GGA
Structure: optimized geometry

Values from the calculation:
E_form (uncorrected), kJ per mole of atoms: 21.29
N(E_F), states/eV per atom: 0.88
E_tot, eV for the cell shown: -36.7

a b c (Å): 3.082 3.082 6.624
angles (deg): 90.00 90.00 90.00
Fractional positions:
1 Mo 0.500 0.500 0.258
2 Mo 0.000 0.000 0.990
3 Se 0.500 0.500 0.765
4 Re 0.000 0.000 0.488

What did the second record say?
Compound: BaPu2CuSe5
Source: Alexandria
Functional: PBE-GGA
Structure: optimized geometry

Values from the calculation:
E_form (uncorrected), kJ per mole of atoms: -127.92
N(E_F), states/eV per atom: 1.76
E_tot, eV for the cell shown: -128.1

a b c (Å): 7.964 7.964 9.094
angles (deg): 115.97 115.97 90.00
Site moments in Bohr magnetons follow the coordinates.
Fractional positions:
1 Se 0.719 0.219 0.739  -0.15
2 Se 0.980 0.480 0.261  -0.15
3 Se 0.219 0.020 0.739  -0.15
4 Se 0.281 0.781 0.261  -0.15
5 Se 0.020 0.520 0.739  -0.15
6 Se 0.000 0.000 0.000  -0.19
7 Se 0.480 0.281 0.261  -0.15
8 Se 0.781 0.980 0.261  -0.15
9 Se 0.520 0.719 0.739  -0.15
10 Se 0.500 0.500 0.000  -0.19
11 Pu 0.659 0.159 0.000  4.99
12 Pu 0.841 0.659 0.000  4.99
13 Pu 0.159 0.341 0.000  4.99
14 Pu 0.341 0.841 0.000  4.99
15 Cu 0.250 0.750 0.500  -0.15
16 Cu 0.750 0.250 0.500  -0.15
17 Ba 0.250 0.250 0.500  -0.01
18 Ba 0.750 0.750 0.500  -0.01

Question: Which value of N(E_F) does entry 4 give?
Answer: 0.88 states/eV per atom

Question: Which of these has the lowest E_tot?
Answer: BaPu2CuSe5

Question: N(E_F) of number 4 (ReMo2Se)?
Answer: 0.88 states/eV per atom